Entry 1:
Density functional theory data (PBEsol) for an optimized crystal structure of TcC2.

Cell: 4.217 4.217 4.217 Å, 60.00 60.00 60.00°
Positions (direct):
C  0.125  0.125  0.625
C  0.625  0.125  0.125
C  0.125  0.625  0.125
C  0.125  0.125  0.125
Tc  0.750  0.750  0.750
Tc  0.500  0.500  0.500

## Properties
The calculation puts the total DFT energy (no corrections) at -7.580 eV/atom. As for the formation energy from the elements: 2.60 eV/atom. The offset from the most stable computed form comes out at 1.9987 eV per atom. As for the crystal system: cubic. As for the space group: No. 227.

***

Entry 2:
Density functional theory data (PBEsol) for an optimized crystal structure of TcC2.

Cell: 2.657 3.710 5.439 Å, 94.97 104.14 90.00°
Positions (direct):
C  0.507  0.695  0.015
C  0.233  0.583  0.466
C  0.767  0.417  0.534
C  0.493  0.305  0.985
Tc  0.881  0.967  0.763
Tc  0.119  0.033  0.237

## Properties
The calculation puts the total DFT energy (no corrections) at -9.579 eV/atom. As for the formation energy from the elements: 0.61 eV/atom. The offset from the most stable computed form comes out at 0.0000 eV per atom. As for the crystal system: monoclinic. As for the space group: No. 12.

***

Entry 3:
Density functional theory data (PBEsol) for an optimized crystal structure of TcC.

Cell: 3.020 3.020 5.836 Å, 90.00 90.00 120.00°
Positions (direct):
Tc  0.333  0.667  0.149
Tc  0.667  0.333  0.649
C  0.333  0.667  0.480
C  0.667  0.333  0.980

## Properties
The calculation puts the total DFT energy (no corrections) at -9.923 eV/atom. As for the formation energy from the elements: 0.53 eV/atom. The offset from the most stable computed form comes out at 0.3028 eV per atom. As for the crystal system: hexagonal. As for the space group: No. 186.

***

Entry 4:
Density functional theory data (PBEsol) for an optimized crystal structure of Tc4C5.

Cell: 2.719 5.791 5.791 Å, 86.84 76.42 76.42°
Positions (direct):
Tc  0.255  0.745  0.745
Tc  0.745  0.255  0.255
Tc  0.000  0.745  0.255
Tc  0.000  0.255  0.745
C  0.287  0.000  0.426
C  0.713  0.000  0.574
C  0.000  0.000  0.000
C  0.287  0.426  0.000
C  0.713  0.574  0.000

## Properties
The calculation puts the total DFT energy (no corrections) at -9.388 eV/atom. As for the formation energy from the elements: 0.98 eV/atom. As for the crystal system: tetragonal. As for the space group: No. 139.

***

Entry 5:
Density functional theory data (PBEsol) for an optimized crystal structure of TcC3.

Cell: 2.519 3.093 4.444 Å, 105.68 90.00 90.00°
Positions (direct):
C  0.000  0.227  0.102
C  0.500  0.500  0.000
C  0.000  0.773  0.898
Tc  0.500  0.500  0.500

## Properties
The calculation puts the total DFT energy (no corrections) at -8.739 eV/atom. As for the formation energy from the elements: 1.31 eV/atom. The offset from the most stable computed form comes out at 0.2907 eV per atom. As for the crystal system: monoclinic. As for the space group: No. 10.

***

Entry 6:
Density functional theory data (PBEsol) for an optimized crystal structure of TcC3.

Cell: 3.606 3.889 5.329 Å, 90.00 109.78 90.00°
Positions (direct):
C  0.708  0.750  0.812
C  0.695  0.250  0.390
C  0.896  0.250  0.188
C  0.104  0.750  0.812
C  0.292  0.250  0.188
C  0.305  0.750  0.610
Tc  0.415  0.250  0.830
Tc  0.585  0.750  0.170

## Properties
The calculation puts the total DFT energy (no corrections) at -9.030 eV/atom. As for the formation energy from the elements: 1.02 eV/atom. The offset from the most stable computed form comes out at 0.0000 eV per atom. As for the crystal system: orthorhombic. As for the space group: No. 63.

***

Entry 7:
Density functional theory data (PBEsol) for an optimized crystal structure of TcC.

Cell: 2.881 2.881 5.312 Å, 90.00 90.00 120.00°
Positions (direct):
Tc  0.333  0.667  0.250
Tc  0.667  0.333  0.750
C  0.000  0.000  0.000
C  0.000  0.000  0.500

## Properties
The calculation puts the total DFT energy (no corrections) at -10.226 eV/atom. As for the formation energy from the elements: 0.23 eV/atom. The offset from the most stable computed form comes out at 0.0000 eV per atom. As for the crystal system: hexagonal. As for the space group: No. 194.

***

Entry 8:
Density functional theory data (PBEsol) for an optimized crystal structure of Tc3C.

Cell: 2.794 2.794 7.004 Å, 90.00 90.00 120.00°
Positions (direct):
Tc  0.000  0.000  0.500
Tc  0.333  0.667  0.804
Tc  0.333  0.667  0.196
C  0.000  0.000  0.000

## Properties
The calculation puts the total DFT energy (no corrections) at -10.924 eV/atom. As for the formation energy from the elements: -0.06 eV/atom. The offset from the most stable computed form comes out at 0.0000 eV per atom. As for the crystal system: hexagonal. As for the space group: No. 187.